The following is a DFT calculation (SCAN) of BeCr3Br at its PBEsol-relaxed geometry.

Values from the calculation:
- energy relative to the elements, uncorrected (meV per atom) = 1575
- E (eV/cell) = -71.09

Cell: 4.2435 4.2435 4.2435 Å, 90.00 90.00 90.00°
Positions (direct):
Cr 0.0000 0.5000 0.0000
Cr 0.0000 0.0000 0.5000
Cr 0.5000 0.0000 0.0000
Br 0.0000 0.0000 0.0000
Be 0.5000 0.5000 0.5000

=====

The following is a DFT calculation (SCAN) of BeCrBr at its PBEsol-relaxed geometry.

Values from the calculation:
- energy relative to the elements, uncorrected (meV per atom) = 937
- ΔE to the lowest computed polymorph (eV/atom) = 0.355
- E (eV/cell) = -39.39

Cell: 4.2379 4.2379 4.2379 Å, 60.00 60.00 60.00°
Positions (direct):
Cr 0.5000 0.5000 0.5000
Br 0.0000 0.0000 0.0000
Be 0.2500 0.2500 0.2500